# 1
! Y2HoNi4Ge4 PBE optimized geometry; values from VASP
&SYSTEM
  ibrav = 0, nat = 11, ntyp = 4
/
ATOMIC_SPECIES
Ge 72.64 Ge.upf
Y 88.91 Y.upf
Ni 58.69 Ni.upf
Ho 164.93 Ho.upf
ATOMIC_POSITIONS angstrom
Ge -9.302 0.196 5.057
Ge -5.649 -1.005 3.820
Ge -0.399 -2.801 -0.626
Ge -2.586 0.054 1.406
Y -5.274 -0.938 0.851
Y -0.774 -2.869 2.343
Ni 1.522 -2.197 -2.100
Ni -2.660 -2.109 0.173
Ni -7.569 -1.610 5.294
Ni -3.388 -1.698 3.021
Ho 0.000 0.000 0.000
CELL_PARAMETERS angstrom
-4.322 -1.745 6.288
-7.567 1.995 0.175
5.841 -4.057 -3.269
! symmetry: Immm
! crystal system: orthorhombic

---

# 2
! YHoNi2Ge PBE optimized geometry; values from VASP
&SYSTEM
  ibrav = 0, nat = 5, ntyp = 4
/
ATOMIC_SPECIES
Ni 58.69 Ni.upf
Ge 72.64 Ge.upf
Y 88.91 Y.upf
Ho 164.93 Ho.upf
ATOMIC_POSITIONS angstrom
Ni 1.279 0.829 2.100
Ni 5.270 3.415 8.656
Ge 6.529 4.230 10.722
Y 3.845 1.059 7.524
Ho 2.159 -0.033 4.757
CELL_PARAMETERS angstrom
-0.515 -3.199 1.575
4.961 1.462 4.590
1.571 2.770 6.138
! symmetry: Amm2
! crystal system: orthorhombic

---

# 3
! YHo2Ni4Ge4 PBE optimized geometry; values from VASP
&SYSTEM
  ibrav = 0, nat = 11, ntyp = 4
/
ATOMIC_SPECIES
Ge 72.64 Ge.upf
Y 88.91 Y.upf
Ni 58.69 Ni.upf
Ho 164.93 Ho.upf
ATOMIC_POSITIONS angstrom
Ge 0.000 1.296 6.752
Ge 0.000 0.000 10.564
Ge 0.000 0.000 2.939
Ge 2.041 2.064 0.000
Y 0.000 0.000 0.000
Ni 2.041 1.313 -2.392
Ni 0.000 2.047 9.143
Ni 0.000 2.047 4.360
Ni 2.041 1.313 2.392
Ho 2.041 0.000 5.004
Ho 0.000 3.360 1.748
CELL_PARAMETERS angstrom
-2.041 3.360 6.752
2.041 -3.360 6.752
2.041 3.360 -6.752
! symmetry: Immm
! crystal system: orthorhombic

---

# 4
! HoNpGe PBE optimized geometry; values from VASP
&SYSTEM
  ibrav = 0, nat = 3, ntyp = 3
/
ATOMIC_SPECIES
Ge 72.64 Ge.upf
Ho 164.93 Ho.upf
Np 237.00 Np.upf
ATOMIC_POSITIONS angstrom
Ge 0.000 0.000 0.000
Ho -2.384 1.647 -0.712
Np -7.153 4.941 -2.136
CELL_PARAMETERS angstrom
-3.542 2.844 1.764
-1.567 3.824 -2.581
-4.429 -0.081 -2.031
! symmetry: F-43m
! distance to the lowest polymorph of the same formula: 0.0 meV/atom
! crystal system: cubic

---

no.,total energy (eV per atom)
1,-6.032
2,-5.962
3,-5.870
4,-7.335